The following is a PBE-GGA calculation of crystalline NbPtRh5W2 at its relaxed geometry, from the Alexandria database.

It has space group I4/mcm (No. 140), with a = 7.367 Å, b = 7.367 Å, c = 10.990 Å, α = 90.00°, β = 90.00° and γ = 90.00°. The asymmetric unit holds Nb at (0.000, 0.000, 0.250), Pt at (0.000, 0.500, 0.250), Rh at (0.000, 0.000, 0.000), Rh at (0.207, 0.293, 0.131) and W at (0.115, 0.385, 0.500).

The total magnetization comes out at 0.00 μB per formula unit. The calculation puts the density of states at the Fermi level at 1.170 states/eV/atom. The value obtained for the energy is -8.45 eV/atom. The formation energy comes out at 307 meV/atom.